Material: B3MoBr
Method: DFT, PBE
State: relaxed

```
data_B3MoBr
_chemical_formula_sum 'B3 Mo1 Br1'
_space_group_name_H-M_alt 'P m -3 m'
_space_group_IT_number 221
_space_group_name_Hall '-P 4 2 3'
_cell_length_a 4.021
_cell_length_b 4.021
_cell_length_c 4.021
_cell_angle_alpha 90.00
_cell_angle_beta 90.00
_cell_angle_gamma 90.00
loop_
_atom_site_label
_atom_site_type_symbol
_atom_site_fract_x
_atom_site_fract_y
_atom_site_fract_z
_atom_site_occupancy
B1 B 0.000 0.000 0.500 1
Mo1 Mo 0.500 0.500 0.500 1
Br1 Br 0.000 0.000 0.000 1
```

Output
energy relative to the elements, uncorrected	2.68	eV per atom
DOS(E_F)	0.75	states/eV/atom
electronic total energy	-0.1405	Ha/atom
relative energy among the computed polymorphs	0.944	eV/atom